# 1
A relaxed structure of CoSiPd3, computed with PBE-GGA.

Computed properties:
ΔE to the lowest computed polymorph in meV per atom: 518
Calculated volume in Å³ per atom: 18.8

Cell lengths 4.548, 4.548, 4.548 Å; angles 90.00, 90.00, 90.00 degrees
Atoms (fractional coordinates):
Co 0.000 0.000 0.000
Si 0.500 0.500 0.500
Pd 0.000 0.000 0.500
Pd 0.000 0.500 0.000
Pd 0.500 0.000 0.000


# 2
A relaxed structure of Na4Ag3F12, computed with PBE-GGA.

Computed properties:
Calculated volume in Å³ per atom: 16.0

Cell lengths 7.334, 7.334, 7.334 Å; angles 109.47, 109.47, 109.47 degrees
Atoms (fractional coordinates):
Na 0.000 0.000 0.500
Na 0.000 0.500 0.000
Na 0.500 0.000 0.000
Na 0.500 0.500 0.500
Ag 0.000 0.500 0.500
Ag 0.500 0.000 0.500
Ag 0.500 0.500 0.000
F 0.164 0.334 0.830
F 0.170 0.504 0.334
F 0.170 0.836 0.666
F 0.334 0.170 0.504
F 0.334 0.830 0.164
F 0.496 0.666 0.830
F 0.504 0.334 0.170
F 0.666 0.170 0.836
F 0.666 0.830 0.496
F 0.830 0.164 0.334
F 0.830 0.496 0.666
F 0.836 0.666 0.170


# 3
A relaxed structure of CsSr2Al, computed with PBE-GGA.

Computed properties:
DFT formation energy in eV per atom: 0.44
Calculated volume in Å³ per atom: 84.9

Cell lengths 9.752, 9.752, 14.285 Å; angles 90.00, 90.00, 90.00 degrees
Atoms (fractional coordinates):
Cs 0.000 0.000 0.000
Cs 0.000 0.500 0.250
Cs 0.500 0.000 0.750
Cs 0.500 0.500 0.500
Sr 0.017 0.250 0.625
Sr 0.250 0.517 0.875
Sr 0.250 0.983 0.375
Sr 0.483 0.250 0.125
Sr 0.517 0.750 0.125
Sr 0.750 0.017 0.375
Sr 0.750 0.483 0.875
Sr 0.983 0.750 0.625
Al 0.000 0.000 0.500
Al 0.000 0.500 0.750
Al 0.500 0.000 0.250
Al 0.500 0.500 0.000


# 4
A relaxed structure of KPm2Br6, computed with PBE-GGA.

Computed properties:
Calculated volume in Å³ per atom: 39.7

Cell lengths 8.018, 8.018, 8.018 Å; angles 59.09, 59.09, 59.09 degrees
Atoms (fractional coordinates):
K 0.000 0.000 0.000
Pm 0.498 0.498 0.498
Pm 0.675 0.675 0.675
Br 0.083 0.452 0.732
Br 0.299 0.891 0.569
Br 0.452 0.732 0.083
Br 0.569 0.299 0.890
Br 0.732 0.083 0.452
Br 0.891 0.569 0.299


# 5
A relaxed structure of Ho2S3, computed with PBE-GGA.

Computed properties:
Calculated volume in Å³ per atom: 21.3

Cell lengths 10.605, 3.854, 10.446 Å; angles 90.00, 90.00, 90.00 degrees
Atoms (fractional coordinates):
Ho 0.010 0.250 0.187
Ho 0.192 0.250 0.504
Ho 0.308 0.750 0.004
Ho 0.490 0.750 0.687
Ho 0.510 0.250 0.313
Ho 0.692 0.250 0.996
Ho 0.808 0.750 0.496
Ho 0.990 0.750 0.813
S 0.046 0.750 0.373
S 0.119 0.250 0.944
S 0.227 0.750 0.695
S 0.273 0.250 0.195
S 0.381 0.750 0.444
S 0.454 0.250 0.873
S 0.546 0.750 0.127
S 0.619 0.250 0.556
S 0.727 0.750 0.805
S 0.773 0.250 0.305
S 0.881 0.750 0.056
S 0.954 0.250 0.627


# 6
A relaxed structure of AcBeSe2O8, computed with PBE-GGA.

Computed properties:
Calculated volume in Å³ per atom: 13.1

Cell lengths 5.107, 5.107, 6.954 Å; angles 90.00, 90.00, 120.00 degrees
Atoms (fractional coordinates):
Ac 0.000 0.000 0.000
Be 0.000 0.000 0.500
Se 0.333 0.667 0.703
Se 0.667 0.333 0.297
O 0.036 0.296 0.669
O 0.260 0.964 0.669
O 0.296 0.260 0.331
O 0.333 0.667 0.949
O 0.667 0.333 0.051
O 0.704 0.740 0.669
O 0.740 0.036 0.331
O 0.964 0.704 0.331


What are the M_tot values for these records? In order: 3.190 1.126 0.000 1.005 0.000 0.856 Bohr magnetons per cell.
What are the E values for these records? In order: -23.6 -71.2 -24.8 -36.4 -127.5 -71.4 eV per cell.